The following is a DFT calculation (meta-GGA SCAN) of a PBEsol-optimized structure of KYCoC2.

Computed properties:
**Energy of formation from the pure elements**: 2.70 eV per atom
**Total DFT energy (no corrections)**: -60.18 eV for the cell shown
**Density**: 4.23 g/cm³

a = 4.4674 Å, b = 4.4674 Å, c = 4.1451 Å
α = 90.00°, β = 90.00°, γ = 90.00°
With the nearest neighbours (Å) after each atom.
Space group P4/mmm (No. 123)
One atom of each set of equivalent atoms:
K: 0.0000 0.0000 0.0000 [1 per cell]  2 Co 2.07, 4 C 2.23
Y: 0.5000 0.5000 0.5000 [1 per cell]  8 C 3.05, 4 Co 3.16
Co: 0.0000 0.0000 0.5000 [1 per cell]  2 K 2.07
C: 0.0000 0.5000 0.0000 [2 per cell]  2 K 2.23

The following is a DFT calculation (meta-GGA SCAN) of a PBEsol-optimized structure of CaSbSe2N.

Computed properties:
**Formation energy from raw total energies**: -0.18 eV/atom
**Total DFT energy (no corrections)**: -97.28 eV for the cell shown
**Density**: 4.92 g/cm³

a = 5.3277 Å, b = 5.3277 Å, c = 3.9697 Å
α = 90.00°, β = 90.00°, γ = 90.00°
With the nearest neighbours (Å) after each atom.
Space group P4/mmm (No. 123)
One atom of each set of equivalent atoms:
Ca: 0.0000 0.0000 0.0000 [1 per cell]  8 Se 3.32
Sb: 0.5000 0.5000 0.5000 [1 per cell]  2 N 1.98
Se: 0.0000 0.5000 0.5000 [2 per cell]  2 Sb 2.66
N: 0.5000 0.5000 0.0000 [1 per cell]  2 Sb 1.98

The following is a DFT calculation (meta-GGA SCAN) of a PBEsol-optimized structure of KCaBi2Se.

Computed properties:
**Formation energy from raw total energies**: -0.18 eV/atom
**Total DFT energy (no corrections)**: -196.11 eV for the cell shown
**Density**: 5.12 g/cm³

a = 5.8597 Å, b = 5.8597 Å, c = 5.4392 Å
α = 90.00°, β = 90.00°, γ = 90.00°
With the nearest neighbours (Å) after each atom.
Space group P4/mmm (No. 123)
One atom of each set of equivalent atoms:
K: 0.0000 0.0000 0.0000 [1 per cell]  8 Bi 4.00, 4 Se 4.14
Ca: 0.5000 0.5000 0.5000 [1 per cell]  2 Se 2.72, 4 Bi 2.93
Bi: 0.0000 0.5000 0.5000 [2 per cell]  2 Ca 2.93
Se: 0.5000 0.5000 0.0000 [1 per cell]  2 Ca 2.72

The following is a DFT calculation (meta-GGA SCAN) of a PBEsol-optimized structure of YHg.

Computed properties:
**Energy of formation from the pure elements**: -0.68 eV per atom
**Total DFT energy (no corrections)**: -1168.42 eV for the cell shown
**Density**: 9.64 g/cm³

a = 10.5013 Å, b = 8.9998 Å, c = 6.3342 Å
α = 90.00°, β = 90.00°, γ = 90.00°
With the nearest neighbours (Å) after each atom.
Space group Pbcm (No. 57)
One atom of each set of equivalent atoms:
Y: 0.1143 0.2500 0.0000 [4 per cell]  6 Hg 3.12-3.26, 2 Y 3.17
Y: 0.1832 0.6329 0.2500 [4 per cell]  5 Hg 2.93-3.18
Y: 0.3749 0.0432 0.2500 [4 per cell]  9 Hg 3.05-3.27
Hg: 0.0777 0.5463 0.7500 [4 per cell]  9 Y 3.09-3.44
Hg: 0.3607 0.1181 0.7500 [4 per cell]  7 Y 2.93-3.26, 2 Hg 3.05
Hg: 0.4179 0.7500 0.0000 [4 per cell]  4 Hg 3.05-3.17, 6 Y 3.11-3.27